1.
A plane-wave DFT calculation with PBE was carried out for a relaxed structure of HoUFe2.

Summary:
Energy of formation from the pure elements (eV/atom): -0.031
Crystal system: tetragonal
SG: P4/mmm (123)

Cell lengths 3.242, 3.242, 6.762 Å; angles 90.00, 90.00, 90.00 degrees
Site moments in Bohr magnetons follow the coordinates.
Sites, in units of the cell vectors:
U (0.500, 0.500, 0.000)  -1.22
Ho (0.500, 0.500, 0.500)  -0.17
Fe (0.000, 0.000, 0.805)  0.97
Fe (0.000, 0.000, 0.195)  0.97

2.
A plane-wave DFT calculation with PBE was carried out for a relaxed structure of TiNbCu2.

Summary:
Energy of formation from the pure elements (eV/atom): 0.014
Energy above the most stable polymorph in this dataset (eV per atom): 0.000
Crystal system: tetragonal
SG: P4/mmm (123)

Cell lengths 3.959, 3.855, 3.855 Å; angles 90.00, 90.00, 90.00 degrees
Sites, in units of the cell vectors:
Nb (0.500, 0.500, 0.500)
Cu (0.000, 0.000, 0.500)
Cu (0.000, 0.500, 0.000)
Ti (0.500, 0.000, 0.000)

3.
A plane-wave DFT calculation with PBE was carried out for a relaxed structure of NaAg5.

Summary:
Energy of formation from the pure elements (eV/atom): 0.039
Energy above the most stable polymorph in this dataset (eV per atom): 0.024
Crystal system: orthorhombic
SG: Cmmm (65)

Cell lengths 4.923, 4.900, 5.292 Å; angles 117.58, 90.00, 90.00 degrees
Sites, in units of the cell vectors:
Na (0.000, 0.000, 0.000)
Ag (0.500, 0.827, 0.653)
Ag (0.000, 0.667, 0.333)
Ag (0.500, 0.500, 0.000)
Ag (0.000, 0.333, 0.667)
Ag (0.500, 0.173, 0.347)

4.
A plane-wave DFT calculation with PBE was carried out for a relaxed structure of LiEuSnRh.

Summary:
Energy of formation from the pure elements (eV/atom): -0.472
Crystal system: cubic
SG: F-43m (216)

Cell lengths 4.836, 4.836, 4.836 Å; angles 60.00, 60.00, 60.00 degrees
Site moments in Bohr magnetons follow the coordinates.
Sites, in units of the cell vectors:
Eu (0.750, 0.750, 0.750)  6.74
Rh (0.000, 0.000, 0.000)  -0.03
Sn (0.250, 0.250, 0.250)  0.00
Li (0.500, 0.500, 0.500)  0.01

5.
A plane-wave DFT calculation with PBE was carried out for a relaxed structure of Ca6Sn2N.

Summary:
Uncorrected formation energy (eV per atom): -0.74
Energy above the most stable polymorph in this dataset (eV per atom): 0.000
Crystal system: cubic
SG: Fm-3m (225)

Cell lengths 7.034, 7.034, 7.035 Å; angles 60.00, 60.00, 60.01 degrees
Sites, in units of the cell vectors:
Ca (0.261, 0.261, 0.738)
Ca (0.262, 0.739, 0.261)
Ca (0.738, 0.261, 0.739)
Ca (0.739, 0.262, 0.261)
Ca (0.261, 0.738, 0.739)
Ca (0.739, 0.739, 0.262)
Sn (0.250, 0.250, 0.250)
Sn (0.750, 0.750, 0.750)
N (0.500, 0.500, 0.500)

6.
A plane-wave DFT calculation with PBE was carried out for a relaxed structure of Sr2InAgH.

Summary:
Energy above the most stable polymorph in this dataset (eV per atom): 0.000
Crystal system: tetragonal
SG: P4/mmm (123)

Cell lengths 5.536, 5.536, 4.069 Å; angles 90.00, 90.00, 90.00 degrees
Sites, in units of the cell vectors:
Sr (0.000, 0.500, 0.000)
Sr (0.500, 0.000, 0.000)
H (0.000, 0.000, 0.000)
Ag (0.000, 0.000, 0.500)
In (0.500, 0.500, 0.500)

7.
A plane-wave DFT calculation with PBE was carried out for a relaxed structure of MgCu2H8Ir.

Summary:
Crystal system: triclinic
SG: P-1 (2)

Cell lengths 5.062, 5.355, 5.300 Å; angles 89.59, 90.43, 125.60 degrees
Sites, in units of the cell vectors:
Mg (0.000, 0.000, 0.500)
Cu (0.500, 0.500, 0.742)
Cu (0.500, 0.500, 0.258)
H (0.993, 0.749, 0.203)
H (0.582, 0.784, 0.998)
H (0.006, 0.250, 0.199)
H (0.007, 0.251, 0.797)
H (0.418, 0.216, 0.002)
H (0.994, 0.750, 0.801)
H (0.480, 0.695, 0.498)
H (0.520, 0.305, 0.502)
Ir (0.000, 0.000, 0.000)

8.
A plane-wave DFT calculation with PBE was carried out for a relaxed structure of CaIn3Pt.

Summary:
Energy of formation from the pure elements (eV/atom): 1.110
Crystal system: cubic
SG: Pm-3m (221)

Cell lengths 5.703, 5.703, 5.703 Å; angles 90.00, 90.00, 90.00 degrees
Sites, in units of the cell vectors:
Ca (0.000, 0.000, 0.000)
Pt (0.500, 0.500, 0.500)
In (0.000, 0.500, 0.000)
In (0.000, 0.000, 0.500)
In (0.500, 0.000, 0.000)

9.
A plane-wave DFT calculation with PBE was carried out for a relaxed structure of ScPb.

Summary:
Energy of formation from the pure elements (eV/atom): -0.290
Crystal system: orthorhombic
SG: Imm2 (44)

Cell lengths 9.653, 5.193, 6.075 Å; angles 90.00, 90.00, 90.00 degrees
Sites, in units of the cell vectors:
Sc (0.824, 0.000, 0.678)
Sc (0.176, 0.000, 0.678)
Sc (0.324, 0.500, 0.178)
Sc (0.676, 0.500, 0.178)
Sc (0.000, 0.500, 0.387)
Sc (0.500, 0.000, 0.887)
Pb (0.830, 0.000, 0.190)
Pb (0.170, 0.000, 0.190)
Pb (0.330, 0.500, 0.690)
Pb (0.670, 0.500, 0.690)
Pb (0.000, 0.500, 0.880)
Pb (0.500, 0.000, 0.380)

10.
A plane-wave DFT calculation with PBE was carried out for a relaxed structure of Pr14SmHg.

Summary:
Energy of formation from the pure elements (eV/atom): -0.030
Crystal system: orthorhombic
SG: Amm2 (38)

Cell lengths 7.296, 7.296, 10.431 Å; angles 90.00, 90.00, 90.09 degrees
Sites, in units of the cell vectors:
Pr (0.373, 0.627, 0.500)
Pr (0.882, 0.118, 0.500)
Pr (0.843, 0.612, 0.000)
Pr (0.886, 0.634, 0.500)
Pr (0.388, 0.157, 0.000)
Pr (0.366, 0.114, 0.500)
Pr (0.623, 0.873, 0.756)
Pr (0.623, 0.873, 0.244)
Pr (0.127, 0.377, 0.756)
Pr (0.127, 0.377, 0.244)
Pr (0.131, 0.869, 0.772)
Pr (0.131, 0.869, 0.228)
Pr (0.626, 0.374, 0.738)
Pr (0.626, 0.374, 0.262)
Sm (0.874, 0.126, 0.000)
Hg (0.373, 0.627, 0.000)

11.
A plane-wave DFT calculation with PBE was carried out for a relaxed structure of PmDy3Al8.

Summary:
Energy of formation from the pure elements (eV/atom): -0.505
Energy above the most stable polymorph in this dataset (eV per atom): 0.009
Crystal system: trigonal
SG: P3m1 (156)

Cell lengths 5.574, 5.574, 9.167 Å; angles 90.00, 90.00, 120.00 degrees
Sites, in units of the cell vectors:
Pm (0.000, 0.000, 0.568)
Dy (0.667, 0.333, 0.431)
Dy (0.667, 0.333, 0.067)
Dy (0.000, 0.000, 0.932)
Al (0.333, 0.667, 0.499)
Al (0.333, 0.667, 0.001)
Al (0.505, 0.009, 0.752)
Al (0.505, 0.495, 0.752)
Al (0.991, 0.495, 0.752)
Al (0.162, 0.324, 0.248)
Al (0.162, 0.838, 0.248)
Al (0.676, 0.838, 0.248)

12.
A plane-wave DFT calculation with PBE was carried out for a relaxed structure of Na2LiInF.

Summary:
Uncorrected formation energy (eV per atom): -1.05
Crystal system: tetragonal
SG: P4/mmm (123)

Cell lengths 4.822, 4.822, 4.343 Å; angles 90.00, 90.00, 90.00 degrees
Sites, in units of the cell vectors:
Na (0.000, 0.500, 0.000)
Na (0.500, 0.000, 0.000)
F (0.000, 0.000, 0.000)
Li (0.000, 0.000, 0.500)
In (0.500, 0.500, 0.500)

13.
A plane-wave DFT calculation with PBE was carried out for a relaxed structure of Sr2LiCdAs.

Summary:
Energy of formation from the pure elements (eV/atom): -0.504
Crystal system: tetragonal
SG: P4/mmm (123)

Cell lengths 6.037, 6.037, 4.850 Å; angles 90.00, 90.00, 90.00 degrees
Sites, in units of the cell vectors:
Sr (0.000, 0.500, 0.000)
Sr (0.500, 0.000, 0.000)
As (0.000, 0.000, 0.000)
Li (0.000, 0.000, 0.500)
Cd (0.500, 0.500, 0.500)

14.
A plane-wave DFT calculation with PBE was carried out for a relaxed structure of PaCdAu6.

Summary:
Energy of formation from the pure elements (eV/atom): -0.019
Crystal system: trigonal
SG: R-3m (166)

Cell lengths 5.507, 5.507, 8.399 Å; angles 70.86, 70.86, 60.00 degrees
Site moments in Bohr magnetons follow the coordinates.
Sites, in units of the cell vectors:
Pa (0.500, 0.500, 0.500)  -0.97
Cd (0.000, 0.000, 0.000)  0.00
Au (0.067, 0.067, 0.303)  0.00
Au (0.067, 0.563, 0.303)  0.00
Au (0.437, 0.933, 0.697)  0.00
Au (0.933, 0.437, 0.697)  0.00
Au (0.933, 0.933, 0.697)  0.00
Au (0.563, 0.067, 0.303)  0.00

For each record above, in turn, the calculated uncorrected energy values are -8.229; -6.526; -2.557; -6.358; -3.893; -2.785; -3.813; -2.141; -5.310; -4.526; -4.546; -2.878; -2.673; -3.778 eV per atom.